This record from Alexandria via LeMat-Bulk describes a PBEsol-optimized structure of SrZr3Ga. The functional is meta-GGA SCAN.

Summary:
ΔE_f	1.871	eV/atom

Cell lengths 4.995, 4.995, 4.995 Å; angles 90.00, 90.00, 90.00 degrees
Last column: magnetic moment on the atom in μB.
Atoms (fractional coordinates):
Ga  0.500  0.500  0.500  -0.01
Zr  0.000  0.500  0.000  0.37
Zr  0.000  0.000  0.500  0.37
Sr  0.000  0.000  0.000  0.15
Zr  0.500  0.000  0.000  0.37

***

This record from Alexandria via LeMat-Bulk describes a PBEsol-optimized structure of ZnCu. The functional is meta-GGA SCAN.

Summary:
ΔE_f	-0.056	eV/atom

Cell lengths 2.564, 4.068, 4.954 Å; angles 90.00, 104.99, 90.00 degrees
Atoms (fractional coordinates):
Cu  0.570  0.750  0.139
Cu  0.430  0.250  0.861
Zn  0.169  0.250  0.337
Zn  0.831  0.750  0.663